Record 1
A geometry-optimized Rb2Al2Hg structure. Source: Alexandria via LeMat-Bulk, functional GGA-PBE.

The value obtained for the energy above the most stable polymorph in this dataset is 0.705 eV/f.u. Its uncorrected energy is -1.6489 eV per atom. The calculation puts the formation energy at 0.30 eV/atom.

It has space group I4/mmm (No. 139), with a = 7.352 Å, b = 7.352 Å, c = 7.584 Å, α = 90.00°, β = 90.00° and γ = 90.00°. The distinct sites, in fractional coordinates, are Rb at (0.000, 0.500, 0.250), Al at (0.000, 0.000, 0.158) and Hg at (0.000, 0.000, 0.500).



Record 2
A geometry-optimized RbAlHg2 structure. Source: Alexandria via LeMat-Bulk, functional GGA-PBE.

Its uncorrected energy is -1.2972 eV per atom. The calculation puts the formation energy at 0.03 eV/atom.

It has space group P4/mmm (No. 123), with a = 3.712 Å, b = 3.712 Å, c = 8.446 Å, α = 90.00°, β = 90.00° and γ = 90.00°. The distinct sites, in fractional coordinates, are Rb at (0.000, 0.000, 0.000), Al at (0.000, 0.000, 0.500) and Hg at (0.500, 0.500, 0.311).



Record 3
A geometry-optimized RbAlHg2 structure. Source: Alexandria via LeMat-Bulk, functional GGA-PBE.

Its uncorrected energy is -1.3278 eV per atom. The calculation puts the formation energy at 0.00 eV/atom.

It has space group I-42d (No. 122), with a = 6.240 Å, b = 6.240 Å, c = 16.557 Å, α = 90.00°, β = 90.00° and γ = 90.00°. The distinct sites, in fractional coordinates, are Rb at (0.000, 0.000, 0.000), Al at (0.000, 0.000, 0.500) and Hg at (0.067, 0.250, 0.625).



Record 4
A geometry-optimized RbAlHg3 structure. Source: Alexandria via LeMat-Bulk, functional GGA-PBE.

The value obtained for the energy above the most stable polymorph in this dataset is 3.715 eV/f.u. Its uncorrected energy is -0.4888 eV per atom. The calculation puts the formation energy at 0.63 eV/atom.

It has space group Pm-3m (No. 221), with a = 6.472 Å, b = 6.472 Å, c = 6.472 Å, α = 90.00°, β = 90.00° and γ = 90.00°. The distinct sites, in fractional coordinates, are Rb at (0.000, 0.000, 0.000), Al at (0.500, 0.500, 0.500) and Hg at (0.000, 0.000, 0.500).



Record 5
A geometry-optimized Rb3AlHg structure. Source: Alexandria via LeMat-Bulk, functional GGA-PBE.

The value obtained for the energy above the most stable polymorph in this dataset is 0.000 eV/f.u. Its uncorrected energy is -1.0981 eV per atom. The calculation puts the formation energy at 0.29 eV/atom.

It has space group Pm-3m (No. 221), with a = 7.028 Å, b = 7.028 Å, c = 7.028 Å, α = 90.00°, β = 90.00° and γ = 90.00°. The distinct sites, in fractional coordinates, are Rb at (0.000, 0.000, 0.500), Al at (0.000, 0.000, 0.000) and Hg at (0.500, 0.500, 0.500).



Record 6
A geometry-optimized RbAl3Hg structure. Source: Alexandria via LeMat-Bulk, functional GGA-PBE.

The value obtained for the energy above the most stable polymorph in this dataset is 0.000 eV/f.u. Its uncorrected energy is -1.9339 eV per atom. The calculation puts the formation energy at 0.57 eV/atom.

It has space group Pm-3m (No. 221), with a = 5.378 Å, b = 5.378 Å, c = 5.378 Å, α = 90.00°, β = 90.00° and γ = 90.00°. The distinct sites, in fractional coordinates, are Rb at (0.000, 0.000, 0.000), Al at (0.000, 0.500, 0.500) and Hg at (0.500, 0.500, 0.500).



Record 7
A geometry-optimized RbAlHg3 structure. Source: Alexandria via LeMat-Bulk, functional GGA-PBE.

The value obtained for the energy above the most stable polymorph in this dataset is 0.000 eV/f.u. Its uncorrected energy is -1.2319 eV per atom. The calculation puts the formation energy at -0.11 eV/atom.

It has space group Pm-3m (No. 221), with a = 5.424 Å, b = 5.424 Å, c = 5.424 Å, α = 90.00°, β = 90.00° and γ = 90.00°. The distinct sites, in fractional coordinates, are Rb at (0.000, 0.000, 0.000), Al at (0.500, 0.500, 0.500) and Hg at (0.000, 0.500, 0.500).



Record 8
A geometry-optimized Rb2AlHg2 structure. Source: Alexandria via LeMat-Bulk, functional GGA-PBE.

Its uncorrected energy is -1.2521 eV per atom. The calculation puts the formation energy at 0.00 eV/atom.

It has space group P4/mbm (No. 127), with a = 7.603 Å, b = 7.603 Å, c = 6.087 Å, α = 90.00°, β = 90.00° and γ = 90.00°. The distinct sites, in fractional coordinates, are Rb at (0.173, 0.327, 0.000), Al at (0.000, 0.000, 0.500) and Hg at (0.156, 0.656, 0.500).